DyCd4Sn | GGA-PBE | optimized geometry

Output
- calculated total energy (eV per atom) = -2.145
- volume (Å³/atom) = 24.56
- D(E_F) (states/eV per cell) = 2.47
- space-group type = No. 216
- E_form (kJ per mole of atoms) = -9.8

a b c (Å): 5.9285 5.9285 5.9285
angles (deg): 60.00 60.00 60.00
Positions (direct):
Cd1 0.6249 0.6249 0.1254
Cd2 0.6249 0.1254 0.6249
Cd3 0.6249 0.6249 0.6249
Cd4 0.1254 0.6249 0.6249
Sn1 0.0000 0.0000 0.0000
Dy1 0.2500 0.2500 0.2500


YSnBPt2 | GGA-PBE | optimized geometry

Output
- calculated total energy (eV per atom) = -4.192
- volume (Å³/atom) = 30.96
- D(E_F) (states/eV per cell) = 5.06
- space-group type = No. 123
- E_form (kJ per mole of atoms) = 159.5

a b c (Å): 5.1326 5.8766 5.1326
angles (deg): 90.00 90.00 90.00
Positions (direct):
Y1 0.0000 0.0000 0.0000
B1 0.5000 0.5000 0.5000
Sn1 0.0000 0.5000 0.0000
Pt1 0.0000 0.0000 0.5000
Pt2 0.5000 0.0000 0.0000


HoAg3Au7 | GGA-PBE | optimized geometry

Output
- calculated total energy (eV per atom) = -3.355
- volume (Å³/atom) = 20.78
- D(E_F) (states/eV per cell) = 3.39
- space-group type = No. 12
- E_form (kJ per mole of atoms) = -7.3

a b c (Å): 5.7253 7.6507 7.6507
angles (deg): 82.64 123.04 123.04
Positions (direct):
Ho1 0.5000 0.5000 0.5000
Ag1 0.0000 0.7681 0.2319
Ag2 0.5000 0.0000 0.0000
Ag3 0.0000 0.2319 0.7681
Au1 0.3243 0.1855 0.1855
Au2 0.3283 0.0725 0.5865
Au3 0.6717 0.4135 0.9275
Au4 0.3283 0.5865 0.0725
Au5 0.0000 0.5000 0.5000
Au6 0.6717 0.9275 0.4135
Au7 0.6757 0.8145 0.8145